Density functional theory data (PBE-GGA) for an optimized crystal structure of Sc3Ga4Cu4.

Unit cell a=7.711 b=7.711 c=7.711 alpha=149.34 beta=128.61 gamma=61.04
Fractional positions:
Sc (0.000, 0.000, 0.000)
Sc (0.376, 0.876, 0.500)
Sc (0.624, 0.124, 0.500)
Ga (0.221, 0.221, 0.000)
Ga (0.309, 0.500, 0.809)
Ga (0.691, 0.500, 0.191)
Ga (0.779, 0.779, 0.000)
Cu (0.015, 0.326, 0.689)
Cu (0.363, 0.674, 0.689)
Cu (0.637, 0.326, 0.311)
Cu (0.985, 0.674, 0.311)

Results
As for the final energy: -4.7376 eV/atom. Its space-group type is Immm. The calculation puts the calculated volume at 16.464 Å³ per atom. Its formation energy is -0.42 eV per atom.

---

Density functional theory data (PBE-GGA) for an optimized crystal structure of BaPBr2.

Unit cell a=5.666 b=5.666 c=5.666 alpha=60.00 beta=60.00 gamma=60.00
Fractional positions:
Ba (0.000, 0.000, 0.000)
P (0.500, 0.500, 0.500)
Br (0.250, 0.250, 0.250)
Br (0.750, 0.750, 0.750)

Results
As for the final energy: -3.4315 eV/atom. Its space-group type is Fm-3m. The calculation puts the energy above the lowest structure with this stoichiometry at 146 meV/atom. The calculation puts the calculated volume at 32.162 Å³ per atom.

---

Density functional theory data (PBE-GGA) for an optimized crystal structure of Ti2NbReRh.

Unit cell a=4.490 b=4.490 c=4.905 alpha=90.00 beta=90.00 gamma=90.00
Fractional positions:
Ti (0.000, 0.500, 0.000)
Ti (0.500, 0.000, 0.000)
Nb (0.000, 0.000, 0.500)
Re (0.500, 0.500, 0.500)
Rh (0.000, 0.000, 0.000)

Results
As for the final energy: -8.1339 eV/atom. Its space-group type is P4/mmm. The calculation puts the energy above the lowest structure with this stoichiometry at 66 meV/atom. The calculation puts the calculated volume at 19.776 Å³ per atom. Its formation energy is 1.00 eV per atom.